No. 1
Compound: Cs2CaNbBr6
Source: the Alexandria database
Functional: PBE
Structure: optimized geometry

abc: 7.955 7.955 7.955
angles: 60.00 60.00 90.00
Atoms (fractional coordinates):
1 Cs 0.750 0.250 0.500
2 Cs 0.250 0.750 0.500
3 Nb 0.000 0.000 0.000
4 Ca 0.500 0.500 0.000
5 Br 0.244 0.244 0.513
6 Br 0.756 0.756 0.487
7 Br 0.244 0.244 0.000
8 Br 0.756 0.756 0.000
9 Br 0.756 0.244 0.000
10 Br 0.244 0.756 0.000

## Properties
**Spin magnetization**: 3.00 μB/f.u.

=====

No. 2
Compound: Cs2CaNiBr6
Source: the Alexandria database
Functional: PBE
Structure: optimized geometry

abc: 7.829 7.829 13.770
angles: 73.48 73.48 60.00
Atoms (fractional coordinates):
1 Cs 0.874 0.874 0.378
2 Cs 0.126 0.126 0.622
3 Cs 0.708 0.708 0.877
4 Cs 0.292 0.292 0.123
5 Ca 0.587 0.587 0.239
6 Ca 0.413 0.413 0.761
7 Ni 0.000 0.000 0.000
8 Ni 0.500 0.500 0.500
9 Br 0.852 0.381 0.385
10 Br 0.381 0.852 0.385
11 Br 0.381 0.381 0.385
12 Br 0.148 0.619 0.615
13 Br 0.619 0.148 0.615
14 Br 0.619 0.619 0.615
15 Br 0.727 0.194 0.885
16 Br 0.194 0.727 0.885
17 Br 0.194 0.194 0.885
18 Br 0.273 0.806 0.115
19 Br 0.806 0.273 0.115
20 Br 0.806 0.806 0.115

## Properties
**Energy relative to the lowest polymorph listed for this composition**: 0 meV/atom
**Spin magnetization**: 1.91 μB/f.u.

=====

No. 3
Compound: Cs2CaNiBr6
Source: the Alexandria database
Functional: PBE
Structure: optimized geometry

abc: 7.772 7.772 7.773
angles: 60.01 60.01 90.00
Atoms (fractional coordinates):
1 Cs 0.750 0.250 0.500
2 Cs 0.250 0.750 0.500
3 Ni 0.000 0.000 0.000
4 Ca 0.500 0.500 0.000
5 Br 0.236 0.236 0.528
6 Br 0.764 0.764 0.472
7 Br 0.236 0.236 0.000
8 Br 0.764 0.764 0.000
9 Br 0.764 0.236 0.000
10 Br 0.236 0.764 0.000

## Properties
**Energy relative to the lowest polymorph listed for this composition**: 25 meV/atom
**Spin magnetization**: 2.00 μB/f.u.

=====

No. 4
Compound: CsCa2NpBr8
Source: the Alexandria database
Functional: PBE
Structure: optimized geometry

abc: 7.120 6.979 9.348
angles: 89.92 89.95 89.11
Atoms (fractional coordinates):
1 Cs 0.000 0.000 0.500
2 Ca 0.500 0.500 0.746
3 Ca 0.500 0.500 0.254
4 Np 0.000 0.000 0.000
5 Br 0.167 0.743 0.207
6 Br 0.672 0.737 0.000
7 Br 0.832 0.256 0.207
8 Br 0.833 0.257 0.793
9 Br 0.328 0.263 0.000
10 Br 0.168 0.744 0.793
11 Br 0.602 0.729 0.500
12 Br 0.398 0.271 0.500

## Properties
**Spin magnetization**: 4.00 μB/f.u.

=====

No. 5
Compound: Cs2CaBr6O
Source: the Alexandria database
Functional: PBE
Structure: optimized geometry

abc: 7.433 7.433 8.374
angles: 63.65 63.65 90.00
Atoms (fractional coordinates):
1 Cs 0.750 0.250 0.500
2 Cs 0.250 0.750 0.500
3 Ca 0.000 0.000 0.000
4 O 0.500 0.500 0.000
5 Br 0.214 0.214 0.573
6 Br 0.786 0.786 0.427
7 Br 0.283 0.283 0.000
8 Br 0.717 0.717 0.000
9 Br 0.717 0.283 0.000
10 Br 0.283 0.717 0.000

## Properties
**Spin magnetization**: 0.00 μB/f.u.

=====

No. 6
Compound: Cs2CaOsBr6
Source: the Alexandria database
Functional: PBE
Structure: optimized geometry

abc: 7.728 7.728 7.727
angles: 60.00 60.00 90.00
Atoms (fractional coordinates):
1 Cs 0.750 0.250 0.500
2 Cs 0.250 0.750 0.500
3 Ca 0.500 0.500 0.000
4 Os 0.000 0.000 0.000
5 Br 0.235 0.235 0.530
6 Br 0.765 0.765 0.470
7 Br 0.235 0.235 0.000
8 Br 0.765 0.765 0.000
9 Br 0.765 0.235 0.000
10 Br 0.235 0.765 0.000

## Properties
**Spin magnetization**: 0.00 μB/f.u.

=====

Number 1: formation energy from raw total energies -1.4601 eV per atom. Number 2: formation energy from raw total energies -1.4249 eV per atom. Number 3: formation energy from raw total energies -1.3997 eV per atom. Number 4: formation energy from raw total energies -1.7041 eV per atom. Number 5: formation energy from raw total energies -1.0481 eV per atom. Number 6: formation energy from raw total energies -1.1415 eV per atom.